[1]
DFT (PBEsol) results for a relaxed LiCdAg2 crystal.

Geometry as POSCAR:
```
LiCdAg2
1.0
4.106 0.000 0.000
0.000 4.106 0.000
-2.053 -2.053 3.984
Ag Cd Li
2 1 1
Direct
0.750 0.250 0.500
0.250 0.750 0.500
0.000 0.000 0.000
0.500 0.500 0.000
```

Output
The density of states at the Fermi level comes out at 1.22 states/eV per cell. As for the calculated density: 8285 kg/m³. The value obtained for the calculated total energy is -2.633 eV/atom. As for the symmetry: I4/mmm. The calculation puts the total magnetization at 0.0000 μB per atom. The value obtained for the formation energy is -0.19 eV per atom.


[2]
DFT (PBEsol) results for a relaxed AlAs2Br crystal.

Geometry as POSCAR:
```
AlAs2Br
1.0
-1.781 -0.667 -2.475
-1.622 -4.135 2.282
-3.766 2.588 2.012
As Br Al
2 1 1
Direct
0.000 0.000 0.500
0.000 0.500 0.000
0.500 0.500 0.500
0.500 0.000 0.000
```

Output
The density of states at the Fermi level comes out at 1.53 states/eV per cell. As for the calculated density: 5478 kg/m³. The value obtained for the calculated total energy is -3.686 eV/atom. The distance to the lowest polymorph of the same formula is 360 meV/atom. The calculation puts the uncorrected formation energy at 0.358 eV per atom. As for the symmetry: P4/mmm. The calculation puts the total magnetization at 0.0000 μB per atom.


[3]
DFT (PBEsol) results for a relaxed Lu2ZnAg crystal.

Geometry as POSCAR:
```
Lu2ZnAg
1.0
-3.935 -1.826 2.279
0.073 -4.588 1.718
0.121 -0.805 4.832
Zn Lu Ag
1 2 1
Direct
0.000 0.000 0.000
0.250 0.250 0.250
0.750 0.750 0.750
0.500 0.500 0.500
```

Output
The density of states at the Fermi level comes out at 2.52 states/eV per cell. As for the calculated density: 10443 kg/m³. The value obtained for the calculated total energy is -4.013 eV/atom. As for the symmetry: Fm-3m. The calculation puts the total magnetization at 0.0000 μB per atom. The value obtained for the formation energy is -0.35 eV per atom.


[4]
DFT (PBEsol) results for a relaxed SiAg2AuC crystal.

Geometry as POSCAR:
```
SiAg2AuC
1.0
3.623 0.000 0.000
0.000 4.549 0.000
0.000 0.000 4.549
Au C Ag Si
1 1 2 1
Direct
0.500 0.500 0.500
0.000 0.000 0.000
0.000 0.000 0.500
0.000 0.500 0.000
0.500 0.000 0.000
```

Output
The density of states at the Fermi level comes out at 2.30 states/eV per cell. As for the calculated density: 10030 kg/m³. The value obtained for the calculated total energy is -4.488 eV/atom. The calculation puts the uncorrected formation energy at 0.700 eV per atom. As for the symmetry: P4/mmm. The calculation puts the total magnetization at 0.0000 μB per atom.


[5]
DFT (PBEsol) results for a relaxed BaLaFe2O crystal.

Geometry as POSCAR:
```
BaLaFe2O
1.0
4.270 0.000 0.000
0.000 4.270 0.000
0.000 0.000 7.900
O Fe La Ba
1 2 1 1
Direct
0.500 0.500 0.500
0.000 0.500 0.000
0.500 0.000 0.000
0.000 0.000 0.000
0.000 0.000 0.500
```

Output
The density of states at the Fermi level comes out at 5.04 states/eV per cell. As for the calculated density: 4656 kg/m³. The value obtained for the calculated total energy is -5.147 eV/atom. The calculation puts the uncorrected formation energy at 0.988 eV per atom. As for the symmetry: P4/mmm. The calculation puts the total magnetization at 0.4236 μB per atom.


[6]
DFT (PBEsol) results for a relaxed SbTe2Br crystal.

Geometry as POSCAR:
```
SbTe2Br
1.0
-2.077 3.337 -0.395
-3.305 -1.631 3.602
2.879 2.224 3.649
Sb Te Br
1 2 1
Direct
0.500 0.000 0.000
0.000 0.500 0.000
0.000 0.000 0.500
0.500 0.500 0.500
```

Output
The density of states at the Fermi level comes out at 3.35 states/eV per cell. As for the calculated density: 7232 kg/m³. The value obtained for the calculated total energy is -3.134 eV/atom. The distance to the lowest polymorph of the same formula is 107 meV/atom. The calculation puts the uncorrected formation energy at 0.236 eV per atom. As for the symmetry: P4/mmm. The calculation puts the total magnetization at 0.0000 μB per atom.


[7]
DFT (PBEsol) results for a relaxed ZnH4I2O8 crystal.

Geometry as POSCAR:
```
ZnH4I2O8
1.0
4.768 -0.065 0.048
-0.235 6.476 -0.034
-0.145 -1.722 10.774
I O H Zn
4 16 8 2
Direct
0.618 0.225 0.772
0.382 0.775 0.228
0.091 0.706 0.729
0.909 0.294 0.271
0.237 0.795 0.885
0.786 0.212 0.621
0.343 0.505 0.679
0.763 0.205 0.115
0.683 0.759 0.014
0.803 0.014 0.830
0.737 0.757 0.528
0.730 0.095 0.354
0.270 0.905 0.646
0.317 0.241 0.986
0.263 0.243 0.472
0.214 0.788 0.379
0.839 0.445 0.854
0.161 0.555 0.146
0.197 0.986 0.170
0.657 0.495 0.321
0.549 0.798 0.563
0.524 0.779 0.955
0.705 0.648 0.450
0.245 0.378 0.028
0.451 0.202 0.437
0.755 0.622 0.972
0.295 0.352 0.550
0.476 0.221 0.045
0.000 0.000 0.000
0.000 0.000 0.500
```

Output
The density of states at the Fermi level comes out at 0.00 states/eV per cell. As for the calculated density: 4510 kg/m³. The value obtained for the calculated total energy is -4.817 eV/atom. As for the symmetry: P-1. The calculation puts the total magnetization at 0.0000 μB per atom.


[8]
DFT (PBEsol) results for a relaxed NiAsRh crystal.

Geometry as POSCAR:
```
NiAsRh
1.0
-2.393 -1.081 -2.401
2.437 -2.136 -1.468
-1.709 -4.518 3.737
Rh Ni As
2 2 2
Direct
0.500 0.000 0.361
0.000 0.500 0.639
0.000 0.000 0.000
0.500 0.500 0.000
0.500 0.000 0.748
0.000 0.500 0.252
```

Output
The density of states at the Fermi level comes out at 0.83 states/eV per cell. As for the calculated density: 10159 kg/m³. The value obtained for the calculated total energy is -6.903 eV/atom. As for the symmetry: P4/nmm. The calculation puts the total magnetization at 0.0000 μB per atom. The value obtained for the formation energy is -0.44 eV per atom.


[9]
DFT (PBEsol) results for a relaxed ReMoPCl2 crystal.

Geometry as POSCAR:
```
ReMoPCl2
1.0
-1.369 -4.215 1.025
0.873 -1.320 -4.264
4.642 -1.187 1.318
P Cl Re Mo
1 2 1 1
Direct
0.000 0.000 0.500
0.000 0.500 0.000
0.500 0.000 0.000
0.500 0.500 0.500
0.000 0.000 0.000
```

Output
The density of states at the Fermi level comes out at 4.05 states/eV per cell. As for the calculated density: 6203 kg/m³. The value obtained for the calculated total energy is -5.743 eV/atom. The calculation puts the uncorrected formation energy at 1.239 eV per atom. As for the symmetry: P4/mmm. The calculation puts the total magnetization at 0.9739 μB per atom.


[10]
DFT (PBEsol) results for a relaxed PuIn crystal.

Geometry as POSCAR:
```
PuIn
1.0
3.080 0.000 0.000
0.000 3.080 0.000
0.000 0.000 4.924
In Pu
1 1
Direct
0.000 0.000 0.000
0.500 0.500 0.500
```

Output
The density of states at the Fermi level comes out at 5.11 states/eV per cell. As for the calculated density: 12760 kg/m³. The value obtained for the calculated total energy is -9.013 eV/atom. As for the symmetry: P4/mmm. The calculation puts the total magnetization at 2.8075 μB per atom. The value obtained for the formation energy is 0.06 eV per atom.


[11]
DFT (PBEsol) results for a relaxed Li5Mn2CoO8 crystal.

Geometry as POSCAR:
```
Li5Mn2CoO8
1.0
2.829 0.001 0.030
1.414 6.135 -0.024
1.334 0.223 7.473
Li O Mn Co
5 8 2 1
Direct
0.120 0.126 0.634
0.383 0.356 0.876
0.880 0.874 0.366
0.000 0.000 0.000
0.617 0.644 0.124
0.061 0.546 0.332
0.685 0.208 0.422
0.801 0.313 0.085
0.578 0.041 0.804
0.199 0.687 0.915
0.422 0.959 0.196
0.939 0.454 0.668
0.315 0.792 0.578
0.744 0.757 0.755
0.256 0.243 0.245
0.500 0.500 0.500
```

Output
As for the calculated density: 4252 kg/m³. The value obtained for the calculated total energy is -6.792 eV/atom. The distance to the lowest polymorph of the same formula is 7 meV/atom. The calculation puts the uncorrected formation energy at -1.850 eV per atom. As for the symmetry: C2/m. The calculation puts the total magnetization at 0.3712 μB per atom.


[12]
DFT (PBEsol) results for a relaxed La3ZrCr crystal.

Geometry as POSCAR:
```
La3ZrCr
1.0
-0.350 -4.489 3.288
2.700 -3.017 -3.833
4.866 1.351 2.363
La Zr Cr
3 1 1
Direct
0.000 0.500 0.000
0.000 0.000 0.500
0.500 0.000 0.000
0.000 0.000 0.000
0.500 0.500 0.500
```

Output
The density of states at the Fermi level comes out at 6.00 states/eV per cell. As for the calculated density: 5365 kg/m³. The value obtained for the calculated total energy is -6.128 eV/atom. As for the symmetry: Pm-3m. The calculation puts the total magnetization at 1.0236 μB per atom. The value obtained for the formation energy is 0.95 eV per atom.